# YCuRe2, optimized geometry, DFT PBE
data_YCuRe2
_chemical_formula_sum 'Y4 Cu4 Re8'
_symmetry_space_group_name_H-M 'I -4 2 d'
_symmetry_Int_Tables_number 122
_symmetry_space_group_name_Hall 'I -4 2bw'
_cell_length_a 3.864
_cell_length_b 3.864
_cell_length_c 19.988
_cell_angle_alpha 90.00
_cell_angle_beta 90.00
_cell_angle_gamma 90.00
loop_
_atom_site_label
_atom_site_fract_x
_atom_site_fract_y
_atom_site_fract_z
Y1 0.000 0.000 0.000
Cu1 0.000 0.000 0.500
Re1 0.199 0.250 0.625
# **Relative energy among the computed polymorphs**: 2.113 eV/f.u.
# **N(E_F)**: 4.18 states/eV/f.u.
# **E_form**: 0.611 eV/atom

# RbAgP, optimized geometry, DFT PBE
data_RbAgP
_chemical_formula_sum 'Rb4 Ag4 P4'
_symmetry_space_group_name_H-M 'C 1 2/m 1'
_symmetry_Int_Tables_number 12
_cell_length_a 10.582
_cell_length_b 6.209
_cell_length_c 6.593
_cell_angle_alpha 90.00
_cell_angle_beta 126.15
_cell_angle_gamma 90.00
loop_
_symmetry_equiv_pos_as_xyz
'x,y,z'
'-x,-y,-z'
'-x,y,-z'
'x,-y,z'
'x+1/2,y+1/2,z'
'-x+1/2,-y+1/2,-z'
'-x+1/2,y+1/2,-z'
'x+1/2,-y+1/2,z'
loop_
_atom_site_label
_atom_site_fract_x
_atom_site_fract_y
_atom_site_fract_z
Rb1 0.138 0.000 0.379
Ag1 0.250 0.250 0.000
P1 0.034 0.500 0.865
# **Relative energy among the computed polymorphs**: 0.000 eV/f.u.
# **N(E_F)**: 0.01 states/eV/f.u.
# **E_form**: -0.200 eV/atom

# ZnIBr2, optimized geometry, DFT PBE
data_ZnIBr2
_chemical_formula_sum 'Zn2 I2 Br4'
_symmetry_space_group_name_H-M 'P 1'
_symmetry_Int_Tables_number 1
_cell_length_a 6.034
_cell_length_b 6.647
_cell_length_c 8.110
_cell_angle_alpha 80.38
_cell_angle_beta 79.56
_cell_angle_gamma 71.43
loop_
_symmetry_equiv_pos_as_xyz
'x,y,z'
loop_
_atom_site_label
_atom_site_fract_x
_atom_site_fract_y
_atom_site_fract_z
Zn1 0.000 0.000 0.000
Zn2 0.211 0.503 0.711
I1 0.264 0.775 0.253
I2 0.940 0.565 0.450
Br1 0.220 0.866 0.739
Br2 0.594 0.045 0.094
Br3 0.599 0.298 0.609
Br4 0.991 0.385 0.969
# **Relative energy among the computed polymorphs**: 0.211 eV/f.u.
# **N(E_F)**: 0.00 states/eV/f.u.

# Rb2NaTiTe4, optimized geometry, DFT PBE
data_Rb2NaTiTe4
_chemical_formula_sum 'Rb16 Na8 Ti8 Te32'
_symmetry_space_group_name_H-M 'F d d d'
_symmetry_Int_Tables_number 70
_cell_length_a 6.992
_cell_length_b 15.085
_cell_length_c 25.138
_cell_angle_alpha 90.00
_cell_angle_beta 90.00
_cell_angle_gamma 90.00
loop_
_symmetry_equiv_pos_as_xyz
'x,y,z'
'-x,-y,-z'
'-x+1/4,-y+1/4,z'
'x+1/4,y+1/4,-z'
'x,-y+1/4,-z+1/4'
'-x,y+1/4,z+1/4'
'-x+1/4,y,-z+1/4'
'x+1/4,-y,z+1/4'
'x,y+1/2,z+1/2'
'-x,-y+1/2,-z+1/2'
'-x+1/4,-y+3/4,z+1/2'
'x+1/4,y+3/4,-z+1/2'
'x,-y+3/4,-z+3/4'
'-x,y+3/4,z+3/4'
'-x+1/4,y+1/2,-z+3/4'
'x+1/4,-y+1/2,z+3/4'
'x+1/2,y,z+1/2'
'-x+1/2,-y,-z+1/2'
'-x+3/4,-y+1/4,z+1/2'
'x+3/4,y+1/4,-z+1/2'
'x+1/2,-y+1/4,-z+3/4'
'-x+1/2,y+1/4,z+3/4'
'-x+3/4,y,-z+3/4'
'x+3/4,-y,z+3/4'
'x+1/2,y+1/2,z'
'-x+1/2,-y+1/2,-z'
'-x+3/4,-y+3/4,z'
'x+3/4,y+3/4,-z'
'x+1/2,-y+3/4,-z+1/4'
'-x+1/2,y+3/4,z+1/4'
'-x+3/4,y+1/2,-z+1/4'
'x+3/4,-y+1/2,z+1/4'
loop_
_atom_site_label
_atom_site_fract_x
_atom_site_fract_y
_atom_site_fract_z
Rb1 0.125 0.125 0.307
Na1 0.125 0.125 0.125
Ti1 0.125 0.125 0.625
Te1 0.082 0.270 0.814
# **Total DFT energy (no corrections)**: -3.728 eV per atom
# **N(E_F)**: 4.04 states/eV/f.u.

# Cd2In2Ag7, optimized geometry, DFT PBE
data_Cd2In2Ag7
_chemical_formula_sum 'Cd4 In4 Ag14'
_symmetry_space_group_name_H-M 'I m m 2'
_symmetry_Int_Tables_number 44
_cell_length_a 4.732
_cell_length_b 12.265
_cell_length_c 7.509
_cell_angle_alpha 90.00
_cell_angle_beta 90.00
_cell_angle_gamma 90.00
loop_
_symmetry_equiv_pos_as_xyz
'x,y,z'
'-x,-y,z'
'-x,y,z'
'x,-y,z'
'x+1/2,y+1/2,z+1/2'
'-x+1/2,-y+1/2,z+1/2'
'-x+1/2,y+1/2,z+1/2'
'x+1/2,-y+1/2,z+1/2'
loop_
_atom_site_label
_atom_site_fract_x
_atom_site_fract_y
_atom_site_fract_z
Cd1 0.000 0.000 0.000
Cd2 0.000 0.500 0.213
In1 0.000 0.213 0.229
Ag1 0.000 0.000 0.398
Ag2 0.000 0.149 0.693
Ag3 0.000 0.357 0.917
Ag4 0.000 0.367 0.530
# **N(E_F)**: 2.08 states/eV/f.u.
# **E_form**: 0.008 eV/atom

# Sc3Ga2Cu9, optimized geometry, DFT PBE
data_Sc3Ga2Cu9
_chemical_formula_sum 'Sc6 Ga4 Cu18'
_symmetry_space_group_name_H-M 'I m m m'
_symmetry_Int_Tables_number 71
_symmetry_space_group_name_Hall '-I 2 2'
_cell_length_a 4.144
_cell_length_b 8.411
_cell_length_c 12.058
_cell_angle_alpha 90.00
_cell_angle_beta 90.00
_cell_angle_gamma 90.00
loop_
_atom_site_label
_atom_site_fract_x
_atom_site_fract_y
_atom_site_fract_z
Sc1 0.000 0.000 0.000
Sc2 0.000 0.000 0.291
Ga1 0.000 0.188 0.500
Cu1 0.000 0.285 0.134
Cu2 0.000 0.358 0.333
Cu3 0.000 0.500 0.000
# **N(E_F)**: 7.44 states/eV/f.u.
# **E_form**: -0.225 eV/atom

# PuThCl6, optimized geometry, DFT PBE
data_PuThCl6
_chemical_formula_sum 'Pu3 Th3 Cl18'
_symmetry_space_group_name_H-M 'R -3'
_symmetry_Int_Tables_number 148
_symmetry_space_group_name_Hall '-R 3'
_cell_length_a 6.9927
_cell_length_b 6.9927
_cell_length_c 19.2784
_cell_angle_alpha 90.00
_cell_angle_beta 90.00
_cell_angle_gamma 120.00
loop_
_atom_site_label
_atom_site_fract_x
_atom_site_fract_y
_atom_site_fract_z
Pu1 0.0000 0.0000 0.0000
Th1 0.0000 0.0000 0.5000
Cl1 0.0092 0.3572 0.2482
# **Total DFT energy (no corrections)**: -6.096 eV per atom
# **N(E_F)**: 19.81 states/eV/f.u.

# Ca2CoTeN, optimized geometry, DFT PBE
data_Ca2CoTeN
_chemical_formula_sum 'Ca2 Co1 Te1 N1'
_symmetry_space_group_name_H-M 'P 4/m m m'
_symmetry_Int_Tables_number 123
_symmetry_space_group_name_Hall '-P 4 2'
_cell_length_a 5.206
_cell_length_b 5.206
_cell_length_c 3.662
_cell_angle_alpha 90.00
_cell_angle_beta 90.00
_cell_angle_gamma 90.00
loop_
_atom_site_label
_atom_site_fract_x
_atom_site_fract_y
_atom_site_fract_z
Ca1 0.000 0.500 0.000
Co1 0.000 0.000 0.500
Te1 0.500 0.500 0.500
N1 0.000 0.000 0.000
# **Total DFT energy (no corrections)**: -5.348 eV per atom
# **N(E_F)**: 3.83 states/eV/f.u.

Question: Look up the N(E_F) of the fourth one.
Answer: 4.04 states/eV/f.u.

Question: What is the formula in the second record?
Answer: RbAgP

Question: What is the N(E_F) in the first record?
Answer: 4.18 states/eV/f.u.

Question: Which of these has the lowest N(E_F)?
Answer: ZnIBr2